PBE-GGA K14HgO, optimized geometry; space-group type = Amm2, No. 38; energy relative to the elements, uncorrected = -0.167 eV per atom
1.0
9.760 -0.344 0.000
-3.053 9.277 0.000
0.000 0.000 11.764
K Hg O
14 1 1
Cartesian
-1.631 8.210 0.000 K
3.909 4.049 0.000 K
-0.972 3.487 5.882 K
-0.838 3.459 0.000 K
3.088 8.894 5.882 K
3.152 8.773 0.000 K
3.332 1.575 8.191 K
3.332 1.575 3.573 K
6.125 5.294 8.191 K
6.125 5.294 3.573 K
1.151 6.121 8.549 K
1.151 6.121 3.215 K
9.208 0.071 7.983 K
9.208 0.071 3.781 K
-0.930 7.683 5.882 Hg
8.252 0.789 5.882 O

PBE-GGA PmErBi, optimized geometry; space-group type = C2/m, No. 12
1.0
4.130 0.000 0.000
-2.065 5.868 -0.482
0.000 -3.125 8.345
Pm Er Bi
2 2 2
Cartesian
2.065 2.809 2.741 Pm
0.000 -0.065 5.122 Pm
0.000 4.319 0.135 Er
2.065 -1.576 7.729 Er
2.065 2.254 5.931 Bi
0.000 0.489 1.932 Bi

PBE-GGA MgCoW4, optimized geometry; space-group type = F-43m, No. 216
1.0
0.000 3.723 3.723
3.723 0.000 3.723
3.723 3.723 0.000
Mg Co W
1 1 4
Cartesian
0.000 0.000 0.000 Mg
1.862 1.862 1.862 Co
2.788 2.788 4.658 W
2.788 4.658 2.788 W
4.658 4.658 4.658 W
4.658 2.788 2.788 W

PBE-GGA YHfIr2, optimized geometry; space-group type = P4/mmm, No. 123
1.0
3.322 0.000 0.000
0.000 3.322 0.000
0.000 0.000 6.899
Y Ir Hf
1 2 1
Cartesian
1.661 1.661 3.450 Y
0.000 0.000 5.358 Ir
0.000 0.000 1.541 Ir
1.661 1.661 0.000 Hf

PBE-GGA RbTiRe3, optimized geometry; space-group type = Pm-3m, No. 221
1.0
-0.136 0.258 -4.626
-3.894 -2.514 -0.025
-2.510 3.885 0.290
Re Rb Ti
3 1 1
Cartesian
-1.947 -1.257 -0.013 Re
-1.255 1.943 0.145 Re
-0.068 0.129 -2.313 Re
0.000 0.000 0.000 Rb
-3.270 0.815 -2.180 Ti

PBE-GGA ErScGaCu, optimized geometry; space-group type = F-43m, No. 216
1.0
4.827 0.000 0.000
2.414 4.181 0.000
2.414 1.394 3.942
Sc Cu Ga Er
1 1 1 1
Cartesian
4.827 2.787 1.971 Sc
2.414 1.394 0.985 Cu
7.241 4.181 2.956 Ga
0.000 0.000 0.000 Er

PBE-GGA Ho2PbI3, optimized geometry; space-group type = C2/m, No. 12; energy relative to the elements, uncorrected = -0.927 eV per atom
1.0
4.041 0.000 0.000
2.020 11.468 -1.318
2.020 1.487 10.663
Ho Pb I
4 2 6
Cartesian
6.061 6.066 8.319 Ho
2.020 6.888 1.025 Ho
4.041 3.797 5.572 Ho
4.041 9.157 3.773 Ho
4.041 6.954 6.110 Pb
4.041 6.000 3.235 Pb
2.020 3.025 7.847 I
6.061 9.929 1.497 I
6.061 8.987 9.404 I
2.020 3.967 -0.059 I
6.061 10.698 5.423 I
2.020 2.257 3.922 I

PBE-GGA BaRe2Hg, optimized geometry; space-group type = P2/m, No. 10
1.0
-0.543 -2.110 1.958
3.931 1.901 3.140
-0.825 4.473 4.593
Re Hg Ba
2 1 1
Cartesian
0.000 0.000 0.000 Re
1.694 -0.105 2.549 Re
-0.412 2.237 2.296 Hg
1.282 2.132 4.845 Ba

PBE-GGA Sr2Ca2P, optimized geometry; space-group type = P4/mbm, No. 127
1.0
-6.094 1.701 -4.534
-4.450 -4.843 4.164
-1.612 4.934 4.016
Sr Ca P
4 4 2
Cartesian
-4.818 -0.487 4.027 Sr
-8.581 -0.417 2.430 Sr
-7.337 2.279 -0.381 Sr
-3.574 2.208 1.215 Sr
-5.686 -3.453 1.960 Ca
-8.036 -1.844 -0.959 Ca
-4.857 0.311 -2.331 Ca
-2.507 -1.298 0.588 Ca
0.000 0.000 0.000 P
-5.272 -1.571 -0.185 P

PBE-GGA PmSm2Tl3S6, optimized geometry; space-group type = C2/m, No. 12; energy relative to the elements, uncorrected = -1.467 eV per atom
1.0
7.161 -0.001 0.000
-3.580 6.202 0.000
-1.194 -2.068 7.505
Pm Sm Tl S
1 2 3 6
Cartesian
0.000 0.000 0.000 Pm
0.001 4.134 0.000 Sm
3.580 2.067 0.000 Sm
-2.386 4.134 3.753 Tl
4.773 -0.001 3.753 Tl
1.194 2.067 3.753 Tl
3.585 2.058 5.986 S
2.383 4.126 1.518 S
-1.198 2.075 1.519 S
-0.009 4.134 5.986 S
0.004 0.007 5.988 S
2.396 0.000 1.519 S

PBE-GGA Al2ZnHPt, optimized geometry; space-group type = P4/mmm, No. 123
1.0
4.826 0.000 0.000
0.000 3.139 0.000
0.000 0.000 4.826
H Zn Al Pt
1 1 2 1
Cartesian
0.000 1.570 0.000 H
0.000 0.000 0.000 Zn
0.000 0.000 2.413 Al
2.413 0.000 0.000 Al
2.413 1.570 2.413 Pt

PBE-GGA La2PrTm, optimized geometry; space-group type = P4/mmm, No. 123
1.0
5.159 0.000 0.000
0.000 5.190 0.000
0.000 0.000 5.190
Pr Tm La
1 1 2
Cartesian
2.580 0.000 0.000 Pr
2.580 2.595 2.595 Tm
0.000 0.000 2.595 La
0.000 2.595 0.000 La

PBE-GGA PmAsPdRu, optimized geometry; space-group type = F-43m, No. 216
1.0
-0.046 1.674 -4.390
2.062 -2.420 -3.459
-2.622 -2.097 -3.287
Ru As Pd Pm
1 1 1 1
Cartesian
-0.303 -1.422 -5.568 Ru
-0.454 -2.133 -8.352 As
0.000 0.000 0.000 Pd
-0.151 -0.711 -2.784 Pm

Magnetic moment list, top to bottom, in μB/atom: 0.00 0.00 0.19 0.00 0.00 0.00 0.00 0.00 0.00 0.00 0.00 0.00 0.00
DOS at the Fermi energy list, top to bottom, in states/eV/cell: 9.8 6.9 6.9 3.3 9.1 3.0 4.6 4.7 11.2 0.0 3.1 5.3 4.7
Uncorrected energy list, top to bottom, in eV/cell: -23.29 -28.56 -56.49 -37.65 -27.56 -19.77 -46.15 -21.51 -27.82 -63.66 -17.02 -19.06 -24.97